1.
VASP calculation (PBE) on a geometry-optimized Tm2HfGa2Rh5 structure.

```
data_Tm2HfGa2Rh5
_cell_length_a 9.885
_cell_length_b 9.885
_cell_length_c 3.524
_cell_angle_alpha 90.00
_cell_angle_beta 90.00
_cell_angle_gamma 90.00
_space_group_name_H-M_alt 'P 4/m b m'
_space_group_IT_number 127
_space_group_name_Hall '-P 4 2ab'
loop_
_atom_site_label
_atom_site_fract_x
_atom_site_fract_y
_atom_site_fract_z
Tm1 0.172 0.328 0.000
Hf1 0.000 0.000 0.000
Ga1 0.125 0.625 0.000
Rh1 0.000 0.500 0.500
Rh2 0.068 0.795 0.500
```



2.
VASP calculation (PBE) on a geometry-optimized TmHfGaRh structure.

```
data_TmHfGaRh
_cell_length_a 6.761
_cell_length_b 6.761
_cell_length_c 6.761
_cell_angle_alpha 90.00
_cell_angle_beta 90.00
_cell_angle_gamma 90.00
_space_group_name_H-M_alt 'F -4 3 m'
_space_group_IT_number 216
_space_group_name_Hall 'F -4 2 3'
loop_
_atom_site_label
_atom_site_fract_x
_atom_site_fract_y
_atom_site_fract_z
Tm1 0.000 0.000 0.000
Hf1 0.000 0.000 0.500
Ga1 0.250 0.250 0.250
Rh1 0.250 0.250 0.750
```



Number 1: calculated total energy -0.51971 Ry per atom, formation energy from the elements -0.9003 eV/atom. Number 2: calculated total energy -0.49914 Ry per atom, formation energy from the elements -0.5903 eV/atom.